The following is a DFT calculation (PBE) of crystalline DyZr3 at its relaxed geometry.

Space-group type: No. 44
Energy of formation from the pure elements (kJ/mol of formula units): 25
Total moment (μB/f.u.): 0.00
Crystal system: orthorhombic

Lattice parameters (Å, degrees): 3.298 5.753 6.218 117.56 105.38 90.00
Fractional coordinates of all 4 atoms:
Zr 0.246 0.579 0.493
Zr 0.500 0.503 0.000
Zr 0.754 0.086 0.507
Dy 0.000 0.999 0.000

The following is a DFT calculation (PBE) of crystalline DyZr4 at its relaxed geometry.

Space-group type: No. 221
Energy of formation from the pure elements (kJ/mol of formula units): 605
Total moment (μB/f.u.): 0.00
Crystal system: cubic

Lattice parameters (Å, degrees): 5.148 5.148 5.148 90.00 90.00 90.00
Fractional coordinates of all 5 atoms:
Zr 0.000 0.000 0.000
Zr 0.500 0.000 0.500
Zr 0.000 0.500 0.500
Zr 0.500 0.500 0.000
Dy 0.500 0.500 0.500